1.
First-principles (meta-GGA SCAN) data for a crystal of BaZr relaxed with PBEsol, as listed in the Alexandria database.

Unit cell a=3.8924 b=3.8919 c=9.3745 alpha=90.00 beta=90.00 gamma=89.97
Positions (direct):
Ba1 0.2500 0.2500 0.3172
Ba2 0.7500 0.7500 0.6828
Zr1 0.2500 0.2500 0.9429
Zr2 0.7500 0.7500 0.0571

Summary:
As for the space-group type: P4/nmm, No. 129. For the formation energy, the calculation gives 0.4246 eV/atom. The calculation puts the density of states at the Fermi level at 1.5043 states/eV/atom. The offset from the most stable computed form comes out at 0 meV/atom.

---

2.
First-principles (meta-GGA SCAN) data for a crystal of Ba3Zr relaxed with PBEsol, as listed in the Alexandria database.

Unit cell a=5.4636 b=5.4636 c=5.4636 alpha=90.00 beta=90.00 gamma=90.00
Positions (direct):
Zr1 0.0000 0.0000 0.0000
Ba1 0.5000 0.5000 0.0000
Ba2 0.0000 0.5000 0.5000
Ba3 0.5000 0.0000 0.5000

Summary:
As for the space-group type: Pm-3m, No. 221. For the formation energy, the calculation gives 0.6270 eV/atom. The calculation puts the density of states at the Fermi level at 1.6405 states/eV/atom.

---

3.
First-principles (meta-GGA SCAN) data for a crystal of Be relaxed with PBEsol, as listed in the Alexandria database.

Unit cell a=2.2577 b=2.2577 c=3.5580 alpha=90.00 beta=90.00 gamma=120.00
Positions (direct):
Be1 0.3333 0.6667 0.2500
Be2 0.6667 0.3333 0.7500

Summary:
As for the space-group type: P6_3/mmc, No. 194. For the formation energy, the calculation gives 0.0000 eV/atom. The calculation puts the density of states at the Fermi level at 0.0450 states/eV/atom. The offset from the most stable computed form comes out at 0 meV/atom.

---

4.
First-principles (meta-GGA SCAN) data for a crystal of Be relaxed with PBEsol, as listed in the Alexandria database.

Unit cell a=2.1589 b=2.1589 c=2.1589 alpha=109.47 beta=109.47 gamma=109.47
Positions (direct):
Be1 0.0000 0.0000 0.0000

Summary:
As for the space-group type: Im-3m, No. 229. For the formation energy, the calculation gives 0.1457 eV/atom. The calculation puts the density of states at the Fermi level at 0.1136 states/eV/atom. The offset from the most stable computed form comes out at 146 meV/atom.

---

5.
First-principles (meta-GGA SCAN) data for a crystal of Be relaxed with PBEsol, as listed in the Alexandria database.

Unit cell a=2.2264 b=2.2264 c=2.2264 alpha=60.00 beta=60.00 gamma=60.00
Positions (direct):
Be1 0.5000 0.5000 0.5000

Summary:
As for the space-group type: Fm-3m, No. 225. For the formation energy, the calculation gives 0.1176 eV/atom. The calculation puts the density of states at the Fermi level at 0.1101 states/eV/atom. The offset from the most stable computed form comes out at 118 meV/atom.

---

6.
First-principles (meta-GGA SCAN) data for a crystal of Be relaxed with PBEsol, as listed in the Alexandria database.

Unit cell a=2.2508 b=3.7623 c=3.7623 alpha=90.00 beta=90.00 gamma=90.00
Positions (direct):
Be1 0.0000 0.2990 0.2990
Be2 0.5000 0.7990 0.2010
Be3 0.0000 0.7010 0.7010
Be4 0.5000 0.2010 0.7990

Summary:
As for the space-group type: P4_2/mnm, No. 136. For the formation energy, the calculation gives 0.0513 eV/atom. The calculation puts the density of states at the Fermi level at 0.1062 states/eV/atom. The offset from the most stable computed form comes out at 51 meV/atom.